{
  "formula": "Ba2BWO6",
  "functional": "PBE with a Hubbard U",
  "state": "optimized geometry",
  "sg": "Fmmm",
  "dft_energy_ev_per_atom": -7.045,
  "rho_kg_m3": 6503,
  "magnetic_moment_mub_per_cell": 1.00,
  "cell": [[0.000, 4.415, 4.710], [3.471, 0.000, 4.710], [3.471, 4.415, 0.000]],
  "species": ["Ba", "Ba", "B", "W", "O", "O", "O", "O", "O", "O"],
  "frac_coords": [[0.250, 0.250, 0.250], [0.750, 0.750, 0.750], [0.000, 0.000, 0.000], [0.500, 0.500, 0.500], [0.185, 0.815, 0.815], [0.284, 0.716, 0.284], [0.285, 0.285, 0.715], [0.715, 0.715, 0.285], [0.716, 0.284, 0.716], [0.815, 0.185, 0.185]]
}